! In2FePb, optimized geometry, DFT PBE; values from VASP
! - Energy of formation: 0.487 eV per atom
! - Energy above the most stable polymorph in this dataset: 242 meV/atom
! - D(E_F): 0.88 states/eV per atom
! - V: 195.7 Å³ per cell
&SYSTEM
  ibrav = 0, nat = 8, ntyp = 3
/
ATOMIC_SPECIES
Pb 207.20 Pb.upf
In 114.82 In.upf
Fe 55.84 Fe.upf
CELL_PARAMETERS angstrom
-0.8114 3.0303 -2.9081
-4.1323 -1.1053 0.0012
-4.3488 7.9879 6.3910
ATOMIC_POSITIONS angstrom
Pb 0.0000 0.0000 0.0000
In -3.7872 1.7444 1.1779
Fe -5.4765 3.9225 2.4694
In -7.5062 7.6970 2.2497
Pb -3.8160 5.9903 1.0147
In -2.0949 3.6932 -0.1626
In -5.1966 6.6911 3.7032
Fe -2.4719 0.9625 -1.4534

---

! In2FePb, optimized geometry, DFT PBE; values from VASP
! - Energy of formation: 0.485 eV per atom
! - Energy above the most stable polymorph in this dataset: 239 meV/atom
! - D(E_F): 0.92 states/eV per atom
! - V: 95.7 Å³ per cell
&SYSTEM
  ibrav = 0, nat = 4, ntyp = 3
/
ATOMIC_SPECIES
In 114.82 In.upf
Fe 55.84 Fe.upf
Pb 207.20 Pb.upf
CELL_PARAMETERS angstrom
3.2197 0.0000 0.0000
0.0000 5.4150 0.0000
0.0000 0.0000 5.4866
ATOMIC_POSITIONS angstrom
In 0.0000 0.0000 0.0000
Fe 0.0000 2.7075 2.7433
In 1.6098 2.7075 0.0000
Pb 1.6098 0.0000 2.7433

---

! InFePb, optimized geometry, DFT PBE; values from VASP
! - Energy of formation: 0.446 eV per atom
! - Energy above the most stable polymorph in this dataset: 60 meV/atom
! - D(E_F): 1.16 states/eV per atom
! - V: 66.8 Å³ per cell
&SYSTEM
  ibrav = 0, nat = 3, ntyp = 3
/
ATOMIC_SPECIES
Pb 207.20 Pb.upf
Fe 55.84 Fe.upf
In 114.82 In.upf
CELL_PARAMETERS angstrom
-2.0975 -0.2540 -2.5583
-1.1287 -0.2940 3.1062
-1.1329 6.9123 0.2426
ATOMIC_POSITIONS angstrom
Pb -2.2477 4.5768 1.3885
Fe -0.0081 0.0491 0.0017
In -2.1033 1.7385 -0.5997

---

! In2FePb, optimized geometry, DFT PBE; values from VASP
! - Energy of formation: 0.339 eV per atom
! - Energy above the most stable polymorph in this dataset: 94 meV/atom
! - D(E_F): 1.12 states/eV per atom
! - V: 94.1 Å³ per cell
&SYSTEM
  ibrav = 0, nat = 4, ntyp = 3
/
ATOMIC_SPECIES
In 114.82 In.upf
Fe 55.84 Fe.upf
Pb 207.20 Pb.upf
CELL_PARAMETERS angstrom
9.7291 0.0547 0.0323
9.1247 3.3760 0.0323
9.1247 1.6604 2.9397
ATOMIC_POSITIONS angstrom
In 0.3874 0.0705 0.0416
Fe 20.9009 3.8032 2.2443
Pb 13.5686 2.4690 1.4569
In 7.1109 1.2939 0.7635

---

! In2FePb, optimized geometry, DFT PBE; values from VASP
! - Energy of formation: 0.298 eV per atom
! - Energy above the most stable polymorph in this dataset: 52 meV/atom
! - D(E_F): 0.74 states/eV per atom
! - V: 95.2 Å³ per cell
&SYSTEM
  ibrav = 0, nat = 4, ntyp = 3
/
ATOMIC_SPECIES
In 114.82 In.upf
Pb 207.20 Pb.upf
Fe 55.84 Fe.upf
CELL_PARAMETERS angstrom
-1.0794 2.1534 -2.1126
-0.3822 -3.1652 -3.0310
-6.5256 -2.7720 0.5087
ATOMIC_POSITIONS angstrom
In -2.2295 -0.2070 -1.5014
Pb -4.1453 -3.2925 -1.2380
In -6.8005 -5.3358 -1.9641
Fe -5.1736 -3.8542 -3.7148

---

! InFePb, optimized geometry, DFT PBE; values from VASP
! - Energy of formation: 0.387 eV per atom
! - Energy above the most stable polymorph in this dataset: 0 meV/atom
! - D(E_F): 1.07 states/eV per atom
! - V: 70.0 Å³ per cell
&SYSTEM
  ibrav = 0, nat = 3, ntyp = 3
/
ATOMIC_SPECIES
Pb 207.20 Pb.upf
Fe 55.84 Fe.upf
In 114.82 In.upf
CELL_PARAMETERS angstrom
-4.3705 1.0902 1.0493
-1.7143 -1.0667 4.1610
-0.8753 3.3483 3.0681
ATOMIC_POSITIONS angstrom
Pb -3.4800 1.6860 4.1392
Fe -5.2201 2.5289 6.2088
In 0.0000 0.0000 0.0000

---

! In2FePb, optimized geometry, DFT PBE; values from VASP
! - Energy of formation: 0.495 eV per atom
! - Energy above the most stable polymorph in this dataset: 249 meV/atom
! - D(E_F): 0.85 states/eV per atom
! - V: 95.9 Å³ per cell
&SYSTEM
  ibrav = 0, nat = 4, ntyp = 3
/
ATOMIC_SPECIES
In 114.82 In.upf
Pb 207.20 Pb.upf
Fe 55.84 Fe.upf
CELL_PARAMETERS angstrom
5.8979 -0.0191 0.0265
-2.8080 5.1865 0.0265
0.5983 1.0006 3.1496
ATOMIC_POSITIONS angstrom
In 0.0000 0.0000 0.0000
In 1.5449 2.5837 0.0265
Pb 3.2481 0.4907 1.5881
Fe -1.1049 3.0936 1.5881

---

! In2FePb, optimized geometry, DFT PBE; values from VASP
! - Energy of formation: 0.315 eV per atom
! - Energy above the most stable polymorph in this dataset: 70 meV/atom
! - D(E_F): 0.86 states/eV per atom
! - V: 95.4 Å³ per cell
&SYSTEM
  ibrav = 0, nat = 4, ntyp = 3
/
ATOMIC_SPECIES
In 114.82 In.upf
Fe 55.84 Fe.upf
Pb 207.20 Pb.upf
CELL_PARAMETERS angstrom
-5.5910 -3.8701 -2.3449
-4.1691 -5.0723 2.9369
2.9867 6.5245 -0.4962
ATOMIC_POSITIONS angstrom
In -4.2551 -3.8986 0.2581
In -0.6250 -0.5726 0.0379
Fe -3.0313 -1.5095 1.3684
Pb -3.7422 -0.9084 -1.2726

---

! In2FePb, optimized geometry, DFT PBE; values from VASP
! - Energy of formation: 0.245 eV per atom
! - Energy above the most stable polymorph in this dataset: 0 meV/atom
! - D(E_F): 0.71 states/eV per atom
! - V: 95.6 Å³ per cell
&SYSTEM
  ibrav = 0, nat = 4, ntyp = 3
/
ATOMIC_SPECIES
In 114.82 In.upf
Pb 207.20 Pb.upf
Fe 55.84 Fe.upf
CELL_PARAMETERS angstrom
-4.2082 4.8203 3.6044
-6.1699 2.5591 3.0530
0.0172 -1.1086 4.4846
ATOMIC_POSITIONS angstrom
In -7.7963 4.7240 8.3617
In -9.5943 6.7394 6.4935
Pb -5.9054 3.7273 5.7228
Fe -2.6234 1.5948 2.7924

---

! In2FePb, optimized geometry, DFT PBE; values from VASP
! - Energy of formation: 0.450 eV per atom
! - Energy above the most stable polymorph in this dataset: 204 meV/atom
! - D(E_F): 0.87 states/eV per atom
! - V: 93.0 Å³ per cell
&SYSTEM
  ibrav = 0, nat = 4, ntyp = 3
/
ATOMIC_SPECIES
In 114.82 In.upf
Fe 55.84 Fe.upf
Pb 207.20 Pb.upf
CELL_PARAMETERS angstrom
-4.8933 1.6864 -2.5067
-3.3059 -4.2769 -1.9623
2.6518 1.1596 4.9694
ATOMIC_POSITIONS angstrom
In 0.0000 0.0000 0.0000
In -4.0996 -1.2953 -2.2345
Fe -3.1705 0.7754 0.1141
Pb -2.3769 -2.2063 0.3863

---

! In2FePb, optimized geometry, DFT PBE; values from VASP
! - Energy of formation: 0.469 eV per atom
! - Energy above the most stable polymorph in this dataset: 224 meV/atom
! - D(E_F): 1.23 states/eV per atom
! - V: 93.2 Å³ per cell
&SYSTEM
  ibrav = 0, nat = 4, ntyp = 3
/
ATOMIC_SPECIES
Fe 55.84 Fe.upf
Pb 207.20 Pb.upf
In 114.82 In.upf
CELL_PARAMETERS angstrom
4.9378 0.0000 0.0000
0.0000 4.3452 0.0000
0.0000 0.0000 4.3452
ATOMIC_POSITIONS angstrom
Fe 2.4689 0.0000 2.1726
Pb 2.4689 2.1726 0.0000
In 0.0000 2.1726 2.1726
In 0.0000 0.0000 0.0000

---

! In2FePb, optimized geometry, DFT PBE; values from VASP
! - Energy of formation: 0.534 eV per atom
! - Energy above the most stable polymorph in this dataset: 289 meV/atom
! - D(E_F): 1.30 states/eV per atom
! - V: 96.3 Å³ per cell
&SYSTEM
  ibrav = 0, nat = 4, ntyp = 3
/
ATOMIC_SPECIES
In 114.82 In.upf
Fe 55.84 Fe.upf
Pb 207.20 Pb.upf
CELL_PARAMETERS angstrom
-3.6520 3.2861 -1.5267
-4.4464 -1.7849 -1.8734
-4.3271 0.4906 2.7390
ATOMIC_POSITIONS angstrom
In 0.0000 0.0000 0.0000
Fe -6.2128 0.9959 -0.3306
Pb -3.1064 0.4979 -0.1653
In -9.3191 1.4938 -0.4959

---

! In2FePb, optimized geometry, DFT PBE; values from VASP
! - Energy of formation: 0.507 eV per atom
! - Energy above the most stable polymorph in this dataset: 261 meV/atom
! - D(E_F): 0.90 states/eV per atom
! - V: 96.1 Å³ per cell
&SYSTEM
  ibrav = 0, nat = 4, ntyp = 3
/
ATOMIC_SPECIES
In 114.82 In.upf
Fe 55.84 Fe.upf
Pb 207.20 Pb.upf
CELL_PARAMETERS angstrom
-2.2657 -3.1884 3.6386
-2.5605 -2.6187 -3.8891
2.5863 -2.1380 -0.2631
ATOMIC_POSITIONS angstrom
In 0.0000 0.0000 0.0000
In -2.4131 -2.9036 -0.1252
Fe 0.0129 -2.3784 -2.0761
Pb 0.1603 -2.6632 1.6878

---

! In2FePb, optimized geometry, DFT PBE; values from VASP
! - Energy of formation: 0.389 eV per atom
! - Energy above the most stable polymorph in this dataset: 143 meV/atom
! - D(E_F): 0.66 states/eV per atom
! - V: 95.5 Å³ per cell
&SYSTEM
  ibrav = 0, nat = 4, ntyp = 3
/
ATOMIC_SPECIES
In 114.82 In.upf
Fe 55.84 Fe.upf
Pb 207.20 Pb.upf
CELL_PARAMETERS angstrom
-0.9209 -4.1594 2.0631
0.2706 -1.6710 -3.2481
5.5283 -1.6264 -0.8114
ATOMIC_POSITIONS angstrom
In 5.6080 -3.0748 -3.6957
Fe 3.8888 -4.5528 -2.0130
In 3.0904 -1.8714 -2.3934
Pb 0.9893 -2.9041 0.0167